[1]
A plane-wave DFT calculation with PBE-GGA was carried out for a relaxed structure of Y2ZrTa.

a b c (Å): 3.173 4.897 6.412
angles (deg): 90.00 90.11 90.00
Fractional positions:
1 Y 0.000 0.000 0.241
2 Y 0.000 0.000 0.759
3 Zr 0.500 0.500 0.500
4 Ta 0.500 0.500 0.000

Properties
Space group = P2/m
Relative energy among the computed polymorphs = 0.187 eV per atom
Formation energy = 0.351 eV per atom
Electronic total energy = -7.98 eV/atom


[2]
A plane-wave DFT calculation with PBE-GGA was carried out for a relaxed structure of PrTmTlZn.

a b c (Å): 3.700 3.700 7.598
angles (deg): 90.00 90.00 90.00
Fractional positions:
1 Pr 0.000 0.000 0.000
2 Tm 0.000 0.000 0.544
3 Tl 0.500 0.500 0.291
4 Zn 0.500 0.500 0.747

Properties
Space group = P4mm
Relative energy among the computed polymorphs = 0.000 eV per atom
Formation energy = -0.343 eV per atom
Electronic total energy = -3.57 eV/atom


[3]
A plane-wave DFT calculation with PBE-GGA was carried out for a relaxed structure of V6GeH.

a b c (Å): 6.408 5.906 6.372
angles (deg): 90.00 118.65 90.00
Fractional positions:
1 V 0.135 0.245 0.251
2 V 0.135 0.755 0.251
3 V 0.228 0.000 0.995
4 V 0.272 0.500 0.005
5 V 0.365 0.255 0.749
6 V 0.365 0.745 0.749
7 V 0.635 0.255 0.251
8 V 0.635 0.745 0.251
9 V 0.728 0.500 0.995
10 V 0.772 0.000 0.005
11 V 0.865 0.245 0.749
12 V 0.865 0.755 0.749
13 Ge 0.000 0.000 0.500
14 Ge 0.500 0.500 0.500
15 H 0.000 0.500 0.000
16 H 0.500 0.000 0.000

Properties
Space group = C2/m
Electronic total energy = -7.74 eV/atom


[4]
A plane-wave DFT calculation with PBE-GGA was carried out for a relaxed structure of Zr2TaNbC4.

a b c (Å): 5.636 3.242 5.653
angles (deg): 90.00 109.44 90.00
Fractional positions:
1 Zr 0.000 0.000 0.000
2 Zr 0.500 0.500 0.000
3 Ta 0.000 0.500 0.500
4 Nb 0.500 0.000 0.500
5 C 0.243 0.000 0.736
6 C 0.252 0.500 0.263
7 C 0.748 0.500 0.737
8 C 0.757 0.000 0.264

Properties
Space group = P2/m
Formation energy = -0.700 eV per atom
Electronic total energy = -10.19 eV/atom


[5]
A plane-wave DFT calculation with PBE-GGA was carried out for a relaxed structure of SiRu2.

a b c (Å): 9.425 2.825 6.145
angles (deg): 90.00 96.57 90.00
Fractional positions:
1 Si 0.000 0.000 0.000
2 Si 0.239 0.500 0.406
3 Si 0.500 0.500 0.000
4 Si 0.739 0.000 0.406
5 Ru 0.089 0.000 0.636
6 Ru 0.219 0.500 0.010
7 Ru 0.361 0.000 0.715
8 Ru 0.449 0.000 0.304
9 Ru 0.589 0.500 0.636
10 Ru 0.719 0.000 0.010
11 Ru 0.861 0.500 0.715
12 Ru 0.949 0.500 0.304

Properties
Space group = Cm
E_form (uncorrected) = -0.352 eV/atom
Electronic total energy = -8.34 eV/atom


[6]
A plane-wave DFT calculation with PBE-GGA was carried out for a relaxed structure of ZrBeNi.

a b c (Å): 5.925 5.925 5.925
angles (deg): 90.00 90.00 90.00
Fractional positions:
1 Zr 0.000 0.000 0.000
2 Zr 0.000 0.500 0.500
3 Zr 0.500 0.000 0.500
4 Zr 0.500 0.500 0.000
5 Be 0.250 0.250 0.750
6 Be 0.250 0.750 0.250
7 Be 0.750 0.250 0.250
8 Be 0.750 0.750 0.750
9 Ni 0.250 0.250 0.250
10 Ni 0.250 0.750 0.750
11 Ni 0.750 0.250 0.750
12 Ni 0.750 0.750 0.250

Properties
Space group = F-43m
Relative energy among the computed polymorphs = 0.938 eV per atom
Formation energy = 0.583 eV per atom
Electronic total energy = -5.44 eV/atom


[7]
A plane-wave DFT calculation with PBE-GGA was carried out for a relaxed structure of BaLaW2S.

a b c (Å): 5.198 5.198 5.752
angles (deg): 90.00 90.00 90.00
Fractional positions:
1 Ba 0.000 0.000 0.000
2 La 0.500 0.500 0.500
3 W 0.000 0.500 0.500
4 W 0.500 0.000 0.500
5 S 0.500 0.500 0.000

Properties
Space group = P4/mmm
E_form (uncorrected) = 1.526 eV/atom
Electronic total energy = -5.85 eV/atom


[8]
A plane-wave DFT calculation with PBE-GGA was carried out for a relaxed structure of La2Nd2Te5.

a b c (Å): 9.150 9.150 8.490
angles (deg): 90.00 90.00 55.12
Fractional positions:
1 La 0.196 0.196 0.000
2 La 0.304 0.304 0.500
3 La 0.696 0.696 0.500
4 La 0.804 0.804 0.000
5 Nd 0.147 0.853 0.651
6 Nd 0.353 0.647 0.151
7 Nd 0.647 0.353 0.849
8 Nd 0.853 0.147 0.349
9 Te 0.000 0.000 0.000
10 Te 0.020 0.704 0.345
11 Te 0.204 0.520 0.845
12 Te 0.296 0.980 0.345
13 Te 0.480 0.796 0.845
14 Te 0.500 0.500 0.500
15 Te 0.520 0.204 0.155
16 Te 0.704 0.020 0.655
17 Te 0.796 0.480 0.155
18 Te 0.980 0.296 0.655

Properties
Space group = Cmce
E_form (uncorrected) = -1.480 eV/atom
Electronic total energy = -5.38 eV/atom


[9]
A plane-wave DFT calculation with PBE-GGA was carried out for a relaxed structure of PaGeRuRh.

a b c (Å): 6.581 6.581 6.581
angles (deg): 90.00 90.00 90.00
Fractional positions:
1 Pa 0.000 0.000 0.000
2 Pa 0.000 0.500 0.500
3 Pa 0.500 0.000 0.500
4 Pa 0.500 0.500 0.000
5 Ge 0.000 0.000 0.500
6 Ge 0.000 0.500 0.000
7 Ge 0.500 0.000 0.000
8 Ge 0.500 0.500 0.500
9 Ru 0.250 0.250 0.750
10 Ru 0.250 0.750 0.250
11 Ru 0.750 0.250 0.250
12 Ru 0.750 0.750 0.750
13 Rh 0.250 0.250 0.250
14 Rh 0.250 0.750 0.750
15 Rh 0.750 0.250 0.750
16 Rh 0.750 0.750 0.250

Properties
Space group = F-43m
Formation energy = -0.424 eV per atom
Electronic total energy = -8.11 eV/atom


[10]
A plane-wave DFT calculation with PBE-GGA was carried out for a relaxed structure of Fe2OsRh.

a b c (Å): 5.944 5.944 5.944
angles (deg): 90.00 90.00 90.00
Fractional positions:
1 Fe 0.250 0.250 0.250
2 Fe 0.250 0.250 0.750
3 Fe 0.250 0.750 0.250
4 Fe 0.250 0.750 0.750
5 Fe 0.750 0.250 0.250
6 Fe 0.750 0.250 0.750
7 Fe 0.750 0.750 0.250
8 Fe 0.750 0.750 0.750
9 Os 0.000 0.000 0.000
10 Os 0.000 0.500 0.500
11 Os 0.500 0.000 0.500
12 Os 0.500 0.500 0.000
13 Rh 0.000 0.000 0.500
14 Rh 0.000 0.500 0.000
15 Rh 0.500 0.000 0.000
16 Rh 0.500 0.500 0.500

Properties
Space group = Fm-3m
Relative energy among the computed polymorphs = 0.114 eV per atom
Formation energy = 0.197 eV per atom
Electronic total energy = -8.68 eV/atom


[11]
A plane-wave DFT calculation with PBE-GGA was carried out for a relaxed structure of Tm2ScH8.

a b c (Å): 6.064 6.064 6.064
angles (deg): 146.14 132.64 59.48
Fractional positions:
1 Tm 0.169 0.169 0.000
2 Tm 0.831 0.831 0.000
3 Sc 0.500 0.500 0.000
4 H 0.091 0.346 0.745
5 H 0.248 0.000 0.248
6 H 0.328 0.828 0.500
7 H 0.399 0.654 0.745
8 H 0.601 0.346 0.255
9 H 0.672 0.172 0.500
10 H 0.752 0.000 0.752
11 H 0.909 0.654 0.255

Properties
Space group = Immm
Electronic total energy = -4.41 eV/atom


[12]
A plane-wave DFT calculation with PBE-GGA was carried out for a relaxed structure of La9Pr11Nd4.

a b c (Å): 16.258 16.258 3.746
angles (deg): 90.00 90.00 117.06
Fractional positions:
1 La 0.000 0.000 0.000
2 La 0.112 0.673 0.000
3 La 0.297 0.482 0.000
4 La 0.327 0.888 0.000
5 La 0.482 0.297 0.000
6 La 0.518 0.703 0.000
7 La 0.673 0.112 0.000
8 La 0.703 0.518 0.000
9 La 0.888 0.327 0.000
10 Pr 0.098 0.466 0.500
11 Pr 0.122 0.878 0.500
12 Pr 0.280 0.280 0.500
13 Pr 0.314 0.686 0.500
14 Pr 0.466 0.098 0.500
15 Pr 0.500 0.500 0.500
16 Pr 0.534 0.902 0.500
17 Pr 0.686 0.314 0.500
18 Pr 0.720 0.720 0.500
19 Pr 0.878 0.122 0.500
20 Pr 0.902 0.534 0.500
21 Nd 0.083 0.260 0.000
22 Nd 0.260 0.083 0.000
23 Nd 0.740 0.917 0.000
24 Nd 0.917 0.740 0.000

Properties
Space group = Cmmm
Formation energy = 0.044 eV per atom
Electronic total energy = -4.79 eV/atom


Q: Among the records above, which one has the highest electronic total energy?
A: PrTmTlZn